[1]
The following is a DFT calculation (GGA-PBE) of a geometry-optimized Ce2HoSn9 structure.

Unit cell a=4.721 b=4.721 c=14.086 alpha=90.00 beta=90.00 gamma=90.00
Sites, in units of the cell vectors:
Ce 0.000 0.000 0.334
Ce 0.000 0.000 0.666
Ho 0.000 0.000 0.000
Sn 0.500 0.500 0.000
Sn 0.500 0.500 0.332
Sn 0.500 0.500 0.668
Sn 0.500 0.000 0.165
Sn 0.500 0.000 0.500
Sn 0.500 0.000 0.835
Sn 0.000 0.500 0.165
Sn 0.000 0.500 0.500
Sn 0.000 0.500 0.835

space-group type	No. 123
energy of formation	-0.49	eV/atom

=====

[2]
The following is a DFT calculation (GGA-PBE) of a geometry-optimized CeHoSn2 structure.

Unit cell a=3.756 b=3.756 c=9.751 alpha=78.89 beta=78.89 gamma=60.00
Sites, in units of the cell vectors:
Ho 0.000 0.000 0.000
Ce 0.500 0.500 0.500
Sn 0.747 0.747 0.759
Sn 0.253 0.253 0.241

space-group type	No. 166
energy of formation	-0.43	eV/atom

=====

[3]
The following is a DFT calculation (GGA-PBE) of a geometry-optimized CeHoSn2 structure.

Unit cell a=4.023 b=4.023 c=6.770 alpha=90.00 beta=90.00 gamma=90.00
Sites, in units of the cell vectors:
Ho 0.500 0.500 0.000
Ce 0.500 0.500 0.500
Sn 0.000 0.000 0.768
Sn 0.000 0.000 0.232

space-group type	No. 123
energy of formation	-0.58	eV/atom

=====

[4]
The following is a DFT calculation (GGA-PBE) of a geometry-optimized Ce2HoSn2 structure.

Unit cell a=4.553 b=5.501 c=6.509 alpha=81.76 beta=69.53 gamma=65.55
Sites, in units of the cell vectors:
Ce 0.171 0.257 0.401
Ce 0.829 0.743 0.599
Ho 0.000 0.000 0.000
Sn 0.580 0.635 0.204
Sn 0.420 0.365 0.796

space-group type	No. 12
energy of formation	-0.56	eV/atom
distance to the lowest polymorph of the same formula	0.0	meV per atom

=====

Q: Number 3 is which compound?
A: CeHoSn2

=====

What did the third record say?
The following is a DFT calculation (GGA-PBE) of a geometry-optimized CeHoSn2 structure.

Unit cell a=4.023 b=4.023 c=6.770 alpha=90.00 beta=90.00 gamma=90.00
Sites, in units of the cell vectors:
Ho 0.500 0.500 0.000
Ce 0.500 0.500 0.500
Sn 0.000 0.000 0.768
Sn 0.000 0.000 0.232

space-group type	No. 123
energy of formation	-0.58	eV/atom

=====

Q: Look up the energy of formation of the third one.
A: -0.58 eV/atom